Entry 1:
MgTiN | PBE | relaxed

Structure (POSCAR):
```
MgTiN
1.0
-0.035 2.270 1.919
-2.181 -1.323 1.526
2.997 -2.063 2.495
Mg N Ti
1 1 1
Direct
0.500 0.500 0.500 Mg
0.500 0.500 0.000 N
0.000 0.000 0.000 Ti
```

space group = P4/mmm
M_tot = 0.000 μB/atom
formation energy (no corrections) = -0.89 eV/atom
distance to the lowest polymorph of the same formula = 0.060 eV/atom
calculated volume = 13.0 Å³/atom

Entry 2:
Dy3BSb | PBE | relaxed

Structure (POSCAR):
```
Dy3BSb
1.0
-3.829 0.091 -3.199
1.552 -4.310 -1.980
-2.799 -2.514 3.279
B Dy Sb
1 3 1
Direct
0.000 0.000 0.000 B
0.000 0.500 0.000 Dy
0.500 0.000 0.000 Dy
0.000 0.000 0.500 Dy
0.500 0.500 0.500 Sb
```

space group = Pm-3m
M_tot = 0.000 μB/atom
formation energy (no corrections) = -0.52 eV/atom
calculated volume = 24.9 Å³/atom

Entry 3:
NaHoCd | PBE | relaxed

Structure (POSCAR):
```
NaHoCd
1.0
3.443 0.000 0.000
0.000 3.443 0.000
-1.721 -1.721 7.337
Na Cd Ho
1 1 1
Direct
0.015 0.015 0.031 Na
0.674 0.674 0.347 Cd
0.311 0.311 0.622 Ho
```

space group = I4mm
M_tot = 0.037 μB/atom
formation enthalpy at 0 K = 0.34 kcal/mol of atoms
distance to the lowest polymorph of the same formula = 0.000 eV/atom
calculated volume = 29.0 Å³/atom

Entry 4:
Cs3GaBr4 | PBE | relaxed

Structure (POSCAR):
```
Cs3GaBr4
1.0
-0.052 -7.300 0.340
4.683 -0.294 -5.603
10.917 0.347 9.106
Br Cs Ga
8 6 2
Direct
0.558 0.149 0.500 Br
0.058 0.851 0.000 Br
0.552 0.748 0.738 Br
0.151 0.746 0.500 Br
0.651 0.254 0.000 Br
0.552 0.748 0.262 Br
0.052 0.252 0.238 Br
0.052 0.252 0.762 Br
0.553 0.248 0.250 Cs
0.561 0.756 0.000 Cs
0.053 0.752 0.250 Cs
0.553 0.248 0.750 Cs
0.061 0.244 0.500 Cs
0.053 0.752 0.750 Cs
0.535 0.766 0.500 Ga
0.035 0.234 0.000 Ga
```

space group = Pmn2_1
M_tot = 0.000 μB/atom
formation energy (no corrections) = -1.47 eV/atom
distance to the lowest polymorph of the same formula = 0.000 eV/atom
calculated volume = 47.5 Å³/atom

Entry 5:
Pm3Dy2Tm5 | PBE | relaxed

Structure (POSCAR):
```
Pm3Dy2Tm5
1.0
8.366 1.618 -3.919
0.287 8.474 -3.979
-1.739 -1.937 10.756
Tm Pm Dy
10 6 4
Direct
0.856 0.606 0.724 Tm
0.027 0.777 0.553 Tm
0.271 0.521 0.043 Tm
0.368 0.118 0.724 Tm
0.973 0.223 0.447 Tm
0.632 0.882 0.276 Tm
0.472 0.722 0.444 Tm
0.144 0.394 0.276 Tm
0.729 0.479 0.957 Tm
0.528 0.278 0.556 Tm
0.977 0.223 0.747 Pm
0.766 0.016 0.031 Pm
0.730 0.477 0.253 Pm
0.234 0.984 0.969 Pm
0.270 0.523 0.747 Pm
0.023 0.777 0.253 Pm
0.232 0.984 0.264 Dy
0.532 0.280 0.264 Dy
0.468 0.720 0.736 Dy
0.768 0.016 0.736 Dy
```

space group = C2/c
M_tot = 0.000 μB/atom
formation enthalpy at 0 K = 4.49 kcal/mol of atoms
distance to the lowest polymorph of the same formula = 0.000 eV/atom
calculated volume = 32.4 Å³/atom

Entry 6:
Rb3PuF8 | PBE | relaxed

Structure (POSCAR):
```
Rb3PuF8
1.0
6.238 0.000 0.000
0.000 6.238 0.000
-3.119 -3.119 6.121
Pu F Rb
1 8 3
Direct
0.000 0.000 0.000 Pu
0.692 0.100 0.792 F
0.900 0.308 0.208 F
0.900 0.900 0.208 F
0.100 0.692 0.792 F
0.692 0.692 0.792 F
0.308 0.900 0.208 F
0.100 0.100 0.792 F
0.308 0.308 0.208 F
0.250 0.750 0.500 Rb
0.500 0.500 0.000 Rb
0.750 0.250 0.500 Rb
```

space group = I4/mmm
M_tot = 0.250 μB/atom
formation energy (no corrections) = -3.04 eV/atom
calculated volume = 19.8 Å³/atom

Please write out number 2 again, unchanged.
Dy3BSb | PBE | relaxed

Structure (POSCAR):
```
Dy3BSb
1.0
-3.829 0.091 -3.199
1.552 -4.310 -1.980
-2.799 -2.514 3.279
B Dy Sb
1 3 1
Direct
0.000 0.000 0.000 B
0.000 0.500 0.000 Dy
0.500 0.000 0.000 Dy
0.000 0.000 0.500 Dy
0.500 0.500 0.500 Sb
```

space group = Pm-3m
M_tot = 0.000 μB/atom
formation energy (no corrections) = -0.52 eV/atom
calculated volume = 24.9 Å³/atom

> Which formula does entry 5 have?

Pm3Dy2Tm5